Compound: GaFe3As
Source: Alexandria via LeMat-Bulk
Functional: PBEsol
Structure: relaxed

Cell lengths 4.3386, 4.3386, 4.3386 Å; angles 90.00, 90.00, 90.00 degrees
Closest atoms and distances in Å follow each position.
Positions (direct):
Ga 0.0000 0.0000 0.0000  6 Fe 2.17
As 0.5000 0.5000 0.5000  12 Fe 3.07
Fe 0.5000 0.0000 0.0000  2 Ga 2.17
Fe 0.0000 0.0000 0.5000  2 Ga 2.17
Fe 0.0000 0.5000 0.0000  2 Ga 2.17

Values from the calculation:
Electronic total energy, eV for the cell shown: -29.97
Space group: No. 221
Energy of formation, eV per formula unit: 5.36